Computed, not measured: crystalline ErPdPt4 at its relaxed geometry at the PBE level of DFT.

Output
Size of the total moment: 0.00 μB/atom
Energy of formation: -0.69 eV per atom
Energy relative to the lowest polymorph listed for this composition: 0 meV/atom
Total DFT energy (no corrections): -38.1 eV for the cell shown

Cell lengths 5.313, 5.313, 5.313 Å; angles 60.00, 60.00, 60.00 degrees
Element x y z (fractional)
Pt (0.625, 0.625, 0.124)
Pt (0.124, 0.625, 0.625)
Pt (0.625, 0.124, 0.625)
Pt (0.625, 0.625, 0.625)
Pd (0.000, 0.000, 0.000)
Er (0.250, 0.250, 0.250)



Computed, not measured: crystalline NbHRu2 at its relaxed geometry at the PBE level of DFT.

Output
Size of the total moment: 0.00 μB/atom
Energy relative to the lowest polymorph listed for this composition: 33 meV/atom
Total DFT energy (no corrections): -63.5 eV for the cell shown

Cell lengths 4.422, 4.447, 5.599 Å; angles 89.98, 113.25, 90.00 degrees
Element x y z (fractional)
H (0.363, 0.871, 0.454)
H (0.363, 0.371, 0.454)
Nb (0.363, 0.621, 0.954)
Nb (0.863, 0.121, 0.954)
Ru (0.513, 0.121, 0.246)
Ru (0.213, 0.121, 0.661)
Ru (0.005, 0.621, 0.246)
Ru (0.721, 0.621, 0.661)



Computed, not measured: crystalline Rb3LaTe at its relaxed geometry at the PBE level of DFT.

Output
Formation energy (no corrections): 0.655 eV per atom
Size of the total moment: 0.78 μB/atom
Total DFT energy (no corrections): -7.7 eV for the cell shown

Cell lengths 6.716, 6.716, 6.716 Å; angles 90.00, 90.00, 90.00 degrees
Site moments in Bohr magnetons follow the coordinates.
Element x y z (fractional)
Rb (0.000, 0.000, 0.500)  0.11
Rb (0.500, 0.000, 0.000)  0.04
Rb (0.000, 0.500, 0.000)  0.07
Te (0.500, 0.500, 0.500)  0.03
La (0.000, 0.000, 0.000)  1.26